Sr8CaCu4Re3O24 after structural relaxation, computed with GGA-PBE.

a = 8.078 Å, b = 8.078 Å, c = 8.078 Å
α = 90.00°, β = 90.00°, γ = 90.00°
Site moments in Bohr magnetons follow the coordinates.
Atoms (fractional coordinates):
Sr 0.730 0.270 0.270  0.00
Sr 0.270 0.270 0.730  0.00
Sr 0.270 0.270 0.270  0.00
Sr 0.730 0.730 0.730  0.00
Sr 0.270 0.730 0.730  0.00
Sr 0.730 0.270 0.730  0.00
Sr 0.270 0.730 0.270  0.00
Sr 0.730 0.730 0.270  0.00
Ca 0.000 0.000 0.000  0.00
Cu 0.500 0.500 0.500  -0.20
Cu 0.000 0.500 0.500  0.31
Cu 0.500 0.500 0.000  0.31
Cu 0.500 0.000 0.500  0.31
Re 0.500 0.000 0.000  0.00
Re 0.000 0.000 0.500  0.00
Re 0.000 0.500 0.000  0.00
O 0.763 0.000 0.500  0.02
O 0.763 0.500 0.000  0.02
O 0.500 0.000 0.763  0.02
O 0.000 0.763 0.500  0.02
O 0.500 0.000 0.237  0.02
O 0.000 0.237 0.500  0.02
O 0.500 0.763 0.000  0.02
O 0.500 0.237 0.000  0.02
O 0.000 0.500 0.237  0.02
O 0.000 0.500 0.763  0.02
O 0.237 0.000 0.500  0.02
O 0.237 0.500 0.000  0.02
O 0.753 0.500 0.500  0.01
O 0.500 0.753 0.500  0.01
O 0.500 0.247 0.500  0.01
O 0.500 0.500 0.247  0.01
O 0.270 0.000 0.000  0.00
O 0.000 0.000 0.730  0.00
O 0.000 0.000 0.270  0.00
O 0.000 0.270 0.000  0.00
O 0.000 0.730 0.000  0.00
O 0.730 0.000 0.000  0.00
O 0.247 0.500 0.500  0.01
O 0.500 0.500 0.753  0.01

Computed properties:
Its formation energy (no corrections) is -193 kJ/mol of atoms. For the total energy, the calculation gives -6.710 eV/atom.

=====

RbBe2BiPd after structural relaxation, computed with GGA-PBE.

a = 5.123 Å, b = 5.177 Å, c = 5.123 Å
α = 90.00°, β = 90.00°, γ = 90.00°
Atoms (fractional coordinates):
Be 0.000 0.000 0.500
Be 0.500 0.000 0.000
Rb 0.000 0.000 0.000
Bi 0.500 0.500 0.500
Pd 0.000 0.500 0.000

Computed properties:
For the total energy, the calculation gives -1.605 eV/atom.

=====

Li3CdPd3 after structural relaxation, computed with GGA-PBE.

a = 6.772 Å, b = 6.772 Å, c = 7.016 Å
α = 61.14°, β = 61.14°, γ = 60.00°
Atoms (fractional coordinates):
Li 0.554 0.725 0.639
Li 0.725 0.083 0.639
Li 0.083 0.554 0.639
Li 0.917 0.446 0.361
Li 0.275 0.917 0.361
Li 0.446 0.275 0.361
Cd 0.341 0.341 0.977
Cd 0.659 0.659 0.023
Pd 0.177 0.700 0.192
Pd 0.931 0.177 0.192
Pd 0.700 0.931 0.192
Pd 0.300 0.069 0.808
Pd 0.069 0.823 0.808
Pd 0.823 0.300 0.808

Computed properties:
Its energy above the most stable polymorph in this dataset is 0.92 eV per formula unit. For the total energy, the calculation gives -3.434 eV/atom.

=====

Ti4HgPd5 after structural relaxation, computed with GGA-PBE.

a = 2.888 Å, b = 2.888 Å, c = 19.397 Å
α = 90.00°, β = 90.00°, γ = 90.00°
Site moments in Bohr magnetons follow the coordinates.
Atoms (fractional coordinates):
Ti 0.000 0.000 0.206  0.47
Ti 0.000 0.000 0.402  0.32
Ti 0.000 0.000 0.598  0.32
Ti 0.000 0.000 0.794  0.47
Hg 0.000 0.000 0.000  0.00
Pd 0.500 0.500 0.113  0.01
Pd 0.500 0.500 0.305  0.01
Pd 0.500 0.500 0.500  0.01
Pd 0.500 0.500 0.695  0.01
Pd 0.500 0.500 0.887  0.01

Computed properties:
Its energy above the most stable polymorph in this dataset is 0.00 eV per formula unit. For the total energy, the calculation gives -6.254 eV/atom.

=====

PmNdDyY after structural relaxation, computed with GGA-PBE.

a = 5.749 Å, b = 5.749 Å, c = 5.749 Å
α = 60.00°, β = 60.00°, γ = 60.00°
Atoms (fractional coordinates):
Y 0.750 0.750 0.750
Pm 0.000 0.000 0.000
Nd 0.500 0.500 0.500
Dy 0.250 0.250 0.250

Computed properties:
Its energy above the most stable polymorph in this dataset is 0.39 eV per formula unit. For the total energy, the calculation gives -5.032 eV/atom.

=====

CoMo2As after structural relaxation, computed with GGA-PBE.

a = 2.781 Å, b = 2.781 Å, c = 7.817 Å
α = 90.00°, β = 90.00°, γ = 105.52°
Site moments in Bohr magnetons follow the coordinates.
Atoms (fractional coordinates):
As 0.000 0.000 0.525  0.00
Co 0.500 0.500 0.740  -0.10
Mo 0.000 0.000 0.980  0.00
Mo 0.500 0.500 0.255  0.01

Computed properties:
For the total energy, the calculation gives -8.162 eV/atom.

=====

Th6Ir2OsRh3 after structural relaxation, computed with GGA-PBE.

a = 4.113 Å, b = 8.234 Å, c = 9.188 Å
α = 102.83°, β = 102.93°, γ = 90.00°
Atoms (fractional coordinates):
Th 0.336 0.916 0.672
Th 0.667 0.582 0.333
Th 0.664 0.084 0.328
Th 0.000 0.244 0.000
Th 0.000 0.756 0.000
Th 0.333 0.418 0.667
Ir 0.832 0.664 0.665
Ir 0.168 0.336 0.335
Os 0.500 0.000 0.000
Rh 0.500 0.500 0.000
Rh 0.831 0.167 0.662
Rh 0.169 0.833 0.338

Computed properties:
For the total energy, the calculation gives -8.768 eV/atom.

=====

LiTi2As2 after structural relaxation, computed with GGA-PBE.

a = 7.237 Å, b = 7.237 Å, c = 3.252 Å
α = 90.00°, β = 90.00°, γ = 90.00°
Site moments in Bohr magnetons follow the coordinates.
Atoms (fractional coordinates):
As 0.162 0.662 0.500  -0.01
As 0.662 0.838 0.500  -0.01
As 0.838 0.338 0.500  -0.01
As 0.338 0.162 0.500  -0.01
Li 0.000 0.000 0.000  0.02
Li 0.500 0.500 0.000  0.02
Ti 0.368 0.868 0.000  0.22
Ti 0.868 0.632 0.000  0.23
Ti 0.632 0.132 0.000  0.22
Ti 0.132 0.368 0.000  0.23

Computed properties:
Its energy above the most stable polymorph in this dataset is 1.03 eV per formula unit. For the total energy, the calculation gives -5.936 eV/atom.